Entry from Alexandria: an optimized crystal structure of Cr2S3O12 (PBEsol).

a = 8.1828 Å, b = 8.4665 Å, c = 13.9955 Å
α = 90.00°, β = 124.88°, γ = 90.00°
Space group P2_1/c (No. 14)
Unique sites:
1 Cr 0.1313 0.0331 0.3839 [4 per cell]
2 Cr 0.3670 0.0352 0.1138 [4 per cell]
3 S 0.0361 0.6168 0.6455 [4 per cell]
4 S 0.2551 0.1194 0.6514 [4 per cell]
5 S 0.4555 0.7477 0.9928 [4 per cell]
6 O 0.0337 0.7235 0.1875 [4 per cell]
7 O 0.1129 0.5019 0.7412 [4 per cell]
8 O 0.1191 0.0794 0.6854 [4 per cell]
9 O 0.1573 0.0881 0.5267 [4 per cell]
10 O 0.1690 0.6136 0.6053 [4 per cell]
11 O 0.1710 0.0732 0.9494 [4 per cell]
12 O 0.2605 0.6724 0.9454 [4 per cell]
13 O 0.2967 0.2094 0.1751 [4 per cell]
14 O 0.3849 0.1309 0.4407 [4 per cell]
15 O 0.4387 0.0229 0.7197 [4 per cell]
16 O 0.4548 0.6862 0.3940 [4 per cell]
17 O 0.4866 0.6282 0.5756 [4 per cell]

The calculation puts the energy above the most stable polymorph in this dataset at 0.117 eV per formula unit. The value obtained for the calculated density is 3.3 g/cm3. The total magnetization is 0.353 μB/atom. As for the uncorrected formation energy: -1.5168 eV/atom.